1.
Computed, not measured: a relaxed Li2HfOs crystal at the PBE level of DFT.

```
data_Li2HfOs
_space_group_name_H-M_alt 'F m -3 m'
_space_group_IT_number 225
_space_group_name_Hall '-F 4 2 3'
_cell_length_a 6.0946
_cell_length_b 6.0946
_cell_length_c 6.0946
_cell_angle_alpha 90.00
_cell_angle_beta 90.00
_cell_angle_gamma 90.00
loop_
_atom_site_label
_atom_site_type_symbol
_atom_site_fract_x
_atom_site_fract_y
_atom_site_fract_z
Li1 Li 0.2500 0.2500 0.2500
Hf1 Hf 0.0000 0.0000 0.0000
Os1 Os 0.0000 0.0000 0.5000
```

***

2.
Computed, not measured: a relaxed MnTl2Fe crystal at the PBE level of DFT.

```
data_MnTl2Fe
_space_group_name_H-M_alt 'C 1 2/m 1'
_space_group_IT_number 12
_cell_length_a 9.3033
_cell_length_b 3.2094
_cell_length_c 5.3979
_cell_angle_alpha 90.00
_cell_angle_beta 102.86
_cell_angle_gamma 90.00
loop_
_space_group_symop_operation_xyz
'x,y,z'
'-x,-y,-z'
'-x,y,-z'
'x,-y,z'
'x+1/2,y+1/2,z'
'-x+1/2,-y+1/2,-z'
'-x+1/2,y+1/2,-z'
'x+1/2,-y+1/2,z'
loop_
_atom_site_label
_atom_site_type_symbol
_atom_site_fract_x
_atom_site_fract_y
_atom_site_fract_z
Mn1 Mn 0.0000 0.0000 0.0000
Tl1 Tl 0.2461 0.0000 0.7447
Fe1 Fe 0.0000 0.5000 0.5000
```

***

3.
Computed, not measured: a relaxed Nd3Cd crystal at the PBE level of DFT.

```
data_Nd3Cd
_space_group_name_H-M_alt 'P m m 2'
_space_group_IT_number 25
_cell_length_a 3.4923
_cell_length_b 3.5445
_cell_length_c 10.7977
_cell_angle_alpha 90.00
_cell_angle_beta 90.00
_cell_angle_gamma 90.00
loop_
_space_group_symop_operation_xyz
'x,y,z'
'-x,-y,z'
'-x,y,z'
'x,-y,z'
loop_
_atom_site_label
_atom_site_type_symbol
_atom_site_fract_x
_atom_site_fract_y
_atom_site_fract_z
Nd1 Nd 0.0000 0.0000 0.0000
Nd2 Nd 0.0000 0.5000 0.4593
Nd3 Nd 0.5000 0.5000 0.7534
Cd1 Cd 0.5000 0.0000 0.2581
```

***

Number 1: N(E_F) 1.79 states/eV/f.u., energy relative to the lowest polymorph listed for this composition 0.21 eV/f.u., ΔH_f (0 K) 0.284 eV per atom. Number 2: N(E_F) 3.24 states/eV/f.u., energy relative to the lowest polymorph listed for this composition 0.60 eV/f.u., ΔH_f (0 K) 0.628 eV per atom. Number 3: N(E_F) 5.30 states/eV/f.u., energy relative to the lowest polymorph listed for this composition 0.83 eV/f.u., ΔH_f (0 K) 0.070 eV per atom.